# FeRe2Ir (PBE, optimized geometry)
# E_form (eV per atom): 0.01
# Final energy (eV/atom): -10.549
# Distance to the lowest polymorph of the same formula (meV per atom): 57
# N(E_F) (states/eV per cell): 3.962
data_FeRe2Ir
_cell_length_a 2.7099
_cell_length_b 2.7099
_cell_length_c 7.5789
_cell_angle_alpha 90.00
_cell_angle_beta 90.00
_cell_angle_gamma 90.00
_symmetry_space_group_name_H-M 'P 1'
_symmetry_Int_Tables_number 1
loop_
_symmetry_equiv_pos_as_xyz
'x,y,z'
loop_
_atom_site_label
_atom_site_type_symbol
_atom_site_fract_x
_atom_site_fract_y
_atom_site_fract_z
Fe1 Fe 0.0000 0.0000 0.0000
Re1 Re 0.0000 0.0000 0.4985
Re2 Re 0.5000 0.5000 0.7787
Ir1 Ir 0.5000 0.5000 0.2500